# Fe2IrW

An optimized crystal structure of Fe2IrW (PBE, Alexandria via LeMat-Bulk).

abc: 3.6764 3.6764 9.1184
angles: 78.37 78.37 90.00
Last column: magnetic moment on the atom in μB.
Atoms (fractional coordinates):
Ir  0.0000  0.0000  0.0000  -0.02
Ir  0.7500  0.2500  0.5000  -0.02
Fe  0.6254  0.1250  0.2500  2.00
Fe  0.1246  0.6250  0.2500  2.00
Fe  0.3750  0.3746  0.7500  2.00
Fe  0.8750  0.8754  0.7500  2.00
W  0.5000  0.5000  0.0000  -0.33
W  0.2500  0.7500  0.5000  -0.33

Calculated values
**Magnetic moment**: 3.7 μB/f.u.
**Raw total energy**: -9.113 eV/atom
**DOS(E_F)**: 1.1864 states/eV/atom
**Formation energy**: 221 kJ/mol of formula units

***

# HfRu2Au

An optimized crystal structure of HfRu2Au (PBE, Alexandria via LeMat-Bulk).

abc: 3.9121 4.0567 4.0567
angles: 90.00 90.00 90.00
Atoms (fractional coordinates):
Hf  0.5000  0.5000  0.5000
Au  0.5000  0.0000  0.0000
Ru  0.0000  0.0000  0.5000
Ru  0.0000  0.5000  0.0000

Calculated values
**Magnetic moment**: 0.0 μB/f.u.
**Raw total energy**: -8.258 eV/atom
**DOS(E_F)**: 1.2433 states/eV/atom
**E above lowest polymorph**: 0 meV/atom
**Formation energy**: -121 kJ/mol of formula units

***

# Na2InTeH

An optimized crystal structure of Na2InTeH (PBE, Alexandria via LeMat-Bulk).

abc: 4.8568 4.8568 4.8780
angles: 90.00 90.00 90.00
Atoms (fractional coordinates):
Na  0.0000  0.5000  0.0000
Na  0.5000  0.0000  0.0000
Te  0.5000  0.5000  0.5000
H  0.0000  0.0000  0.0000
In  0.0000  0.0000  0.5000

Calculated values
**Magnetic moment**: 0.0 μB/f.u.
**Raw total energy**: -2.741 eV/atom
**DOS(E_F)**: 0.1099 states/eV/atom

***

# Li2TbSc

An optimized crystal structure of Li2TbSc (PBE, Alexandria via LeMat-Bulk).

abc: 3.5962 3.5962 7.2122
angles: 90.00 90.00 90.00
Atoms (fractional coordinates):
Sc  0.5000  0.5000  0.0000
Tb  0.5000  0.5000  0.5000
Li  0.0000  0.0000  0.7674
Li  0.0000  0.0000  0.2326

Calculated values
**Magnetic moment**: 0.0 μB/f.u.
**Raw total energy**: -3.510 eV/atom
**DOS(E_F)**: 1.0918 states/eV/atom
**E above lowest polymorph**: 0 meV/atom
**Formation energy**: 72 kJ/mol of formula units

***

# TaTePd2Se

An optimized crystal structure of TaTePd2Se (PBE, Alexandria via LeMat-Bulk).

abc: 4.9591 5.2678 4.9591
angles: 90.00 90.00 90.00
Atoms (fractional coordinates):
Te  0.0000  0.5000  0.0000
Se  0.5000  0.5000  0.5000
Pd  0.0000  0.0000  0.5000
Pd  0.5000  0.0000  0.0000
Ta  0.0000  0.0000  0.0000

Calculated values
**Magnetic moment**: 0.0 μB/f.u.
**Raw total energy**: -4.925 eV/atom
**DOS(E_F)**: 0.9438 states/eV/atom
**ΔE_f (raw)**: 409.2 kJ/mol of formula units

***

# K2Rb2Pd

An optimized crystal structure of K2Rb2Pd (PBE, Alexandria via LeMat-Bulk).

abc: 8.7828 8.7828 7.4905
angles: 90.00 90.00 90.00
Atoms (fractional coordinates):
K  0.1885  0.6885  0.5000
K  0.6885  0.8115  0.5000
K  0.8115  0.3115  0.5000
K  0.3115  0.1885  0.5000
Rb  0.3326  0.8326  0.0000
Rb  0.8326  0.6674  0.0000
Rb  0.6674  0.1674  0.0000
Rb  0.1674  0.3326  0.0000
Pd  0.0000  0.0000  0.0000
Pd  0.5000  0.5000  0.0000

Calculated values
**Magnetic moment**: 0.0 μB/f.u.
**Raw total energy**: -1.663 eV/atom
**DOS(E_F)**: 0.3098 states/eV/atom
**E above lowest polymorph**: 34 meV/atom
**Formation energy**: 97 kJ/mol of formula units

***

# Rb2ScTa2

An optimized crystal structure of Rb2ScTa2 (PBE, Alexandria via LeMat-Bulk).

abc: 3.6917 3.6917 14.0936
angles: 82.47 82.47 90.00
Last column: magnetic moment on the atom in μB.
Atoms (fractional coordinates):
Sc  0.0000  0.0000  0.0000  0.76
Rb  0.3773  0.3773  0.2454  0.03
Rb  0.6227  0.6227  0.7546  0.03
Ta  0.7500  0.2500  0.5000  0.02
Ta  0.2500  0.7500  0.5000  0.02

Calculated values
**Magnetic moment**: 1.8 μB/f.u.
**Raw total energy**: -5.196 eV/atom
**DOS(E_F)**: 1.5146 states/eV/atom
**E above lowest polymorph**: 0 meV/atom
**Formation energy**: 578 kJ/mol of formula units

***

# Y7Ho12Tm

An optimized crystal structure of Y7Ho12Tm (PBE, Alexandria via LeMat-Bulk).

abc: 9.7035 9.7035 9.7035
angles: 109.47 109.47 109.47
Atoms (fractional coordinates):
Y  0.5000  0.5000  0.0000
Y  0.0000  0.5000  0.5000
Y  0.5000  0.0000  0.5000
Y  0.5000  0.5000  0.5000
Y  0.0000  0.0000  0.5000
Y  0.5000  0.0000  0.0000
Y  0.0000  0.5000  0.0000
Ho  0.5081  0.7540  0.7542
Ho  0.9998  0.7540  0.2458
Ho  0.4919  0.2460  0.2458
Ho  0.0002  0.2460  0.7542
Ho  0.7542  0.0002  0.2460
Ho  0.7542  0.5081  0.7540
Ho  0.2458  0.9998  0.7540
Ho  0.2458  0.4919  0.2460
Ho  0.7540  0.7542  0.5081
Ho  0.2460  0.2458  0.4919
Ho  0.7540  0.2458  0.9998
Ho  0.2460  0.7542  0.0002
Tm  0.0000  0.0000  0.0000

Calculated values
**Magnetic moment**: 0.0 μB/f.u.
**Raw total energy**: -4.487 eV/atom
**DOS(E_F)**: 1.2496 states/eV/atom
**E above lowest polymorph**: 439 meV/atom
**Formation energy**: 1438 kJ/mol of formula units

***

# Pr3Zn2Au4

An optimized crystal structure of Pr3Zn2Au4 (PBE, Alexandria via LeMat-Bulk).

abc: 4.6758 5.9296 8.9411
angles: 111.89 90.00 113.22
Atoms (fractional coordinates):
Pr  0.6518  0.3036  0.6822
Pr  0.0000  0.0000  0.0000
Pr  0.3482  0.6964  0.3178
Zn  0.6417  0.2834  0.3118
Zn  0.3583  0.7166  0.6882
Au  0.7171  0.4342  0.0672
Au  0.2829  0.5658  0.9328
Au  0.9213  0.8427  0.5999
Au  0.0787  0.1573  0.4001

Calculated values
**Magnetic moment**: 0.0 μB/f.u.
**Raw total energy**: -4.030 eV/atom
**DOS(E_F)**: 0.5999 states/eV/atom
**Formation energy**: -605 kJ/mol of formula units

***

# AlSiTeN2

An optimized crystal structure of AlSiTeN2 (PBE, Alexandria via LeMat-Bulk).

abc: 3.7916 3.7916 5.8209
angles: 90.00 90.00 90.00
Last column: magnetic moment on the atom in μB.
Atoms (fractional coordinates):
Si  0.5000  0.5000  0.5000  -0.01
Te  0.0000  0.0000  0.5000  0.01
Al  0.0000  0.0000  0.0000  0.00
N  0.0000  0.5000  0.0000  0.09
N  0.5000  0.0000  0.0000  0.09

Calculated values
**Magnetic moment**: 0.2 μB/f.u.
**Raw total energy**: -4.868 eV/atom
**DOS(E_F)**: 0.4794 states/eV/atom
**ΔE_f (raw)**: 445.7 kJ/mol of formula units
**E above lowest polymorph**: 285 meV/atom

***

# Ti2Mo8W3

An optimized crystal structure of Ti2Mo8W3 (PBE, Alexandria via LeMat-Bulk).

abc: 5.0329 7.5843 7.0167
angles: 122.71 95.85 90.00
Atoms (fractional coordinates):
Ti  0.2459  0.1998  0.3995
Ti  0.7541  0.8002  0.6005
Mo  0.9046  0.5938  0.1876
Mo  0.0954  0.4062  0.8124
Mo  0.7464  0.2022  0.4045
Mo  0.2536  0.7978  0.5955
Mo  0.5405  0.5721  0.7717
Mo  0.5405  0.1996  0.7717
Mo  0.4595  0.8004  0.2283
Mo  0.4595  0.4279  0.2283
W  0.5000  0.0000  0.0000
W  0.0000  0.1782  0.0000
W  0.0000  0.8218  0.0000

Calculated values
**Magnetic moment**: 0.0 μB/f.u.
**Raw total energy**: -10.356 eV/atom
**DOS(E_F)**: 0.9734 states/eV/atom
**Formation energy**: 644 kJ/mol of formula units

***

# BaCaTlZn

An optimized crystal structure of BaCaTlZn (PBE, Alexandria via LeMat-Bulk).

abc: 5.6855 5.6855 5.6855
angles: 60.00 60.00 60.00
Atoms (fractional coordinates):
Zn  0.0000  0.0000  0.0000
Tl  0.5000  0.5000  0.5000
Ca  0.2500  0.2500  0.2500
Ba  0.7500  0.7500  0.7500

Calculated values
**Magnetic moment**: 0.0 μB/f.u.
**Raw total energy**: -2.168 eV/atom
**DOS(E_F)**: 1.2281 states/eV/atom
**Formation energy**: -107 kJ/mol of formula units

***

# HoZnCoNi

An optimized crystal structure of HoZnCoNi (PBE, Alexandria via LeMat-Bulk).

abc: 4.4049 4.4049 4.4049
angles: 60.00 60.00 60.00
Atoms (fractional coordinates):
Ni  0.7500  0.7500  0.7500
Zn  0.5000  0.5000  0.5000
Co  0.2500  0.2500  0.2500
Ho  0.0000  0.0000  0.0000

Calculated values
**Magnetic moment**: 0.0 μB/f.u.
**Raw total energy**: -4.863 eV/atom
**DOS(E_F)**: 0.5182 states/eV/atom
**Formation energy**: -69 kJ/mol of formula units

***

# MgAsOsBr2

An optimized crystal structure of MgAsOsBr2 (PBE, Alexandria via LeMat-Bulk).

abc: 4.8956 4.8956 5.6090
angles: 90.00 90.00 90.00
Last column: magnetic moment on the atom in μB.
Atoms (fractional coordinates):
As  0.0000  0.0000  0.5000  -0.10
Os  0.5000  0.5000  0.5000  3.19
Mg  0.0000  0.0000  0.0000  0.01
Br  0.0000  0.5000  0.0000  0.08
Br  0.5000  0.0000  0.0000  0.08

Calculated values
**Magnetic moment**: 3.7 μB/f.u.
**Raw total energy**: -3.152 eV/atom
**DOS(E_F)**: 0.7290 states/eV/atom
**ΔE_f (raw)**: 488.4 kJ/mol of formula units
**E above lowest polymorph**: 642 meV/atom

***

# KBa3Mn

An optimized crystal structure of KBa3Mn (PBE, Alexandria via LeMat-Bulk).

abc: 6.1922 6.1922 6.1922
angles: 90.00 90.00 90.00
Atoms (fractional coordinates):
K  0.5000  0.5000  0.5000
Mn  0.0000  0.0000  0.0000
Ba  0.0000  0.5000  0.0000
Ba  0.0000  0.0000  0.5000
Ba  0.5000  0.0000  0.0000

Calculated values
**Magnetic moment**: 0.0 μB/f.u.
**Raw total energy**: -2.601 eV/atom
**DOS(E_F)**: 2.0922 states/eV/atom
**Formation energy**: 292 kJ/mol of formula units

***

# ScTaIn

An optimized crystal structure of ScTaIn (PBE, Alexandria via LeMat-Bulk).

abc: 5.9803 5.9803 5.9803
angles: 147.18 147.18 47.09
Atoms (fractional coordinates):
In  0.0046  0.0046  0.0000
Sc  0.3289  0.3289  0.0000
Ta  0.6665  0.6665  0.0000

Calculated values
**Magnetic moment**: 0.0 μB/f.u.
**Raw total energy**: -6.924 eV/atom
**DOS(E_F)**: 0.5923 states/eV/atom
**E above lowest polymorph**: 106 meV/atom
**Formation energy**: 14 kJ/mol of formula units

***

# Ca2CdGa2Pt5

An optimized crystal structure of Ca2CdGa2Pt5 (PBE, Alexandria via LeMat-Bulk).

abc: 3.7549 9.8733 9.8733
angles: 90.00 90.00 90.00
Atoms (fractional coordinates):
Ca  0.0000  0.6754  0.1754
Ca  0.0000  0.3246  0.8246
Ca  0.0000  0.1754  0.3246
Ca  0.0000  0.8246  0.6754
Cd  0.0000  0.0000  0.0000
Cd  0.0000  0.5000  0.5000
Ga  0.0000  0.1231  0.6231
Ga  0.0000  0.8769  0.3769
Ga  0.0000  0.6231  0.8769
Ga  0.0000  0.3769  0.1231
Pt  0.5000  0.2084  0.0662
Pt  0.5000  0.7916  0.9338
Pt  0.5000  0.0662  0.7916
Pt  0.5000  0.7084  0.4338
Pt  0.5000  0.9338  0.2084
Pt  0.5000  0.2916  0.5662
Pt  0.5000  0.5662  0.7084
Pt  0.5000  0.4338  0.2916
Pt  0.5000  0.5000  0.0000
Pt  0.5000  0.0000  0.5000

Calculated values
**Magnetic moment**: 0.0 μB/f.u.
**Raw total energy**: -4.866 eV/atom
**DOS(E_F)**: 0.3444 states/eV/atom
**Formation energy**: -722 kJ/mol of formula units